# 1
DFT (PBE-GGA) results for SiMo2W after structural relaxation.

The structure in CIF format:
```
data_SiMo2W
_chemical_formula_sum 'Si2 Mo4 W2'
_cell_length_a 3.1994
_cell_length_b 4.2878
_cell_length_c 8.7453
_cell_angle_alpha 90.00
_cell_angle_beta 90.00
_cell_angle_gamma 90.00
_space_group_name_H-M_alt 'I m m m'
_space_group_IT_number 71
_space_group_name_Hall '-I 2 2'
loop_
_atom_site_label
_atom_site_type_symbol
_atom_site_fract_x
_atom_site_fract_y
_atom_site_fract_z
Si1 Si 0.0000 0.0000 0.0000
Mo1 Mo 0.0000 0.5000 0.2487
W1 W 0.0000 0.0000 0.5000
```

Values from the calculation:
Its crystal system is orthorhombic. As for the spin magnetization: 0.000 μB/f.u. As for the uncorrected energy: -0.370 Ha/atom. As for the uncorrected formation energy: -0.07 eV per atom.

=====

# 2
DFT (PBE-GGA) results for SiMo2W after structural relaxation.

The structure in CIF format:
```
data_SiMo2W
_chemical_formula_sum 'Si1 Mo2 W1'
_cell_length_a 2.7526
_cell_length_b 4.3564
_cell_length_c 5.2478
_cell_angle_alpha 90.00
_cell_angle_beta 104.78
_cell_angle_gamma 90.00
_space_group_name_H-M_alt 'P 1 2/m 1'
_space_group_IT_number 10
_space_group_name_Hall '-P 2y'
loop_
_atom_site_label
_atom_site_type_symbol
_atom_site_fract_x
_atom_site_fract_y
_atom_site_fract_z
Si1 Si 0.0000 0.0000 0.0000
Mo1 Mo 0.4799 0.5000 0.7584
W1 W 0.0000 0.0000 0.5000
```

Values from the calculation:
Its crystal system is monoclinic. As for the spin magnetization: 0.000 μB/f.u. As for the uncorrected energy: -0.367 Ha/atom. As for the uncorrected formation energy: 0.01 eV per atom.

=====

# 3
DFT (PBE-GGA) results for Si2MoW after structural relaxation.

The structure in CIF format:
```
data_Si2MoW
_chemical_formula_sum 'Si4 Mo2 W2'
_cell_length_a 3.2457
_cell_length_b 4.3960
_cell_length_c 8.4427
_cell_angle_alpha 90.00
_cell_angle_beta 90.00
_cell_angle_gamma 90.00
_space_group_name_H-M_alt 'C m m 2'
_space_group_IT_number 35
_space_group_name_Hall 'C 2 -2'
loop_
_atom_site_label
_atom_site_type_symbol
_atom_site_fract_x
_atom_site_fract_y
_atom_site_fract_z
Si1 Si 0.0000 0.0000 0.0000
Si2 Si 0.0000 0.5000 0.2578
Mo1 Mo 0.0000 0.5000 0.7625
W1 W 0.0000 0.0000 0.4977
```

Values from the calculation:
Its crystal system is orthorhombic. As for the spin magnetization: 0.000 μB/f.u. As for the uncorrected energy: -0.312 Ha/atom. As for the uncorrected formation energy: 0.18 eV per atom.

=====

# 4
DFT (PBE-GGA) results for SiMoW2 after structural relaxation.

The structure in CIF format:
```
data_SiMoW2
_chemical_formula_sum 'Si4 Mo4 W8'
_cell_length_a 6.2278
_cell_length_b 6.2278
_cell_length_c 6.2278
_cell_angle_alpha 90.00
_cell_angle_beta 90.00
_cell_angle_gamma 90.00
_space_group_name_H-M_alt 'F m -3 m'
_space_group_IT_number 225
_space_group_name_Hall '-F 4 2 3'
loop_
_atom_site_label
_atom_site_type_symbol
_atom_site_fract_x
_atom_site_fract_y
_atom_site_fract_z
Si1 Si 0.0000 0.0000 0.0000
Mo1 Mo 0.0000 0.0000 0.5000
W1 W 0.2500 0.2500 0.2500
```

Values from the calculation:
Its crystal system is cubic. As for the spin magnetization: 0.000 μB/f.u. As for the uncorrected energy: -0.382 Ha/atom. As for the uncorrected formation energy: 0.15 eV per atom.

=====

# 5
DFT (PBE-GGA) results for SiMo2W after structural relaxation.

The structure in CIF format:
```
data_SiMo2W
_chemical_formula_sum 'Si1 Mo2 W1'
_cell_length_a 2.7444
_cell_length_b 4.3755
_cell_length_c 5.2459
_cell_angle_alpha 90.00
_cell_angle_beta 105.13
_cell_angle_gamma 90.00
_space_group_name_H-M_alt 'P 1 m 1'
_space_group_IT_number 6
_space_group_name_Hall 'P -2y'
loop_
_atom_site_label
_atom_site_type_symbol
_atom_site_fract_x
_atom_site_fract_y
_atom_site_fract_z
Si1 Si 0.0000 0.0000 0.0000
Mo1 Mo 0.0161 0.0000 0.5013
Mo2 Mo 0.5028 0.5000 0.7593
W1 W 0.5317 0.5000 0.2464
```

Values from the calculation:
Its crystal system is monoclinic. As for the spin magnetization: 0.000 μB/f.u. As for the uncorrected energy: -0.367 Ha/atom. As for the uncorrected formation energy: 0.02 eV per atom.

=====

# 6
DFT (PBE-GGA) results for SiMoW2 after structural relaxation.

The structure in CIF format:
```
data_SiMoW2
_chemical_formula_sum 'Si2 Mo2 W4'
_cell_length_a 5.3541
_cell_length_b 8.7360
_cell_length_c 2.7871
_cell_angle_alpha 90.00
_cell_angle_beta 110.56
_cell_angle_gamma 90.00
_space_group_name_H-M_alt 'C 1 2/m 1'
_space_group_IT_number 12
_space_group_name_Hall '-C 2y'
loop_
_atom_site_label
_atom_site_type_symbol
_atom_site_fract_x
_atom_site_fract_y
_atom_site_fract_z
Si1 Si 0.0000 0.0000 0.0000
Mo1 Mo 0.0000 0.5000 0.0000
W1 W 0.2500 0.2500 0.5000
```

Values from the calculation:
Its crystal system is monoclinic. As for the spin magnetization: 0.000 μB/f.u. As for the uncorrected energy: -0.383 Ha/atom. As for the uncorrected formation energy: 0.13 eV per atom.

=====

# 7
DFT (PBE-GGA) results for SiMoW2 after structural relaxation.

The structure in CIF format:
```
data_SiMoW2
_chemical_formula_sum 'Si1 Mo1 W2'
_cell_length_a 2.8805
_cell_length_b 4.0798
_cell_length_c 5.2411
_cell_angle_alpha 90.00
_cell_angle_beta 90.00
_cell_angle_gamma 90.00
_space_group_name_H-M_alt 'P m m 2'
_space_group_IT_number 25
_space_group_name_Hall 'P 2 -2'
loop_
_atom_site_label
_atom_site_type_symbol
_atom_site_fract_x
_atom_site_fract_y
_atom_site_fract_z
Si1 Si 0.0000 0.0000 0.0000
Mo1 Mo 0.5000 0.5000 0.7626
W1 W 0.0000 0.0000 0.5011
W2 W 0.5000 0.5000 0.2463
```

Values from the calculation:
Its crystal system is orthorhombic. As for the spin magnetization: 0.000 μB/f.u. As for the uncorrected energy: -0.383 Ha/atom. As for the uncorrected formation energy: 0.13 eV per atom.

=====

# 8
DFT (PBE-GGA) results for SiMo2W after structural relaxation.

The structure in CIF format:
```
data_SiMo2W
_chemical_formula_sum 'Si1 Mo2 W1'
_cell_length_a 3.2420
_cell_length_b 3.2420
_cell_length_c 5.7588
_cell_angle_alpha 90.00
_cell_angle_beta 90.00
_cell_angle_gamma 90.00
_space_group_name_H-M_alt 'P 4/m m m'
_space_group_IT_number 123
_space_group_name_Hall '-P 4 2'
loop_
_atom_site_label
_atom_site_type_symbol
_atom_site_fract_x
_atom_site_fract_y
_atom_site_fract_z
Si1 Si 0.0000 0.0000 0.0000
Mo1 Mo 0.5000 0.5000 0.2354
W1 W 0.0000 0.0000 0.5000
```

Values from the calculation:
Its crystal system is tetragonal. As for the spin magnetization: 0.000 μB/f.u. As for the uncorrected energy: -0.370 Ha/atom. As for the uncorrected formation energy: -0.06 eV per atom.

=====

# 9
DFT (PBE-GGA) results for Si3MoW after structural relaxation.

The structure in CIF format:
```
data_Si3MoW
_chemical_formula_sum 'Si3 Mo1 W1'
_cell_length_a 4.6638
_cell_length_b 4.6638
_cell_length_c 4.6638
_cell_angle_alpha 90.00
_cell_angle_beta 90.00
_cell_angle_gamma 90.00
_space_group_name_H-M_alt 'P m -3 m'
_space_group_IT_number 221
_space_group_name_Hall '-P 4 2 3'
loop_
_atom_site_label
_atom_site_type_symbol
_atom_site_fract_x
_atom_site_fract_y
_atom_site_fract_z
Si1 Si 0.0000 0.0000 0.5000
Mo1 Mo 0.0000 0.0000 0.0000
W1 W 0.5000 0.5000 0.5000
```

Values from the calculation:
Its crystal system is cubic. As for the spin magnetization: 3.992 μB/f.u. As for the uncorrected energy: -0.241 Ha/atom. As for the uncorrected formation energy: 1.46 eV per atom.

=====

# 10
DFT (PBE-GGA) results for Si4MoW after structural relaxation.

The structure in CIF format:
```
data_Si4MoW
_chemical_formula_sum 'Si8 Mo2 W2'
_cell_length_a 8.5007
_cell_length_b 3.2241
_cell_length_c 6.4486
_cell_angle_alpha 90.00
_cell_angle_beta 112.28
_cell_angle_gamma 90.00
_space_group_name_H-M_alt 'C 1 2/m 1'
_space_group_IT_number 12
_space_group_name_Hall '-C 2y'
loop_
_atom_site_label
_atom_site_type_symbol
_atom_site_fract_x
_atom_site_fract_y
_atom_site_fract_z
Si1 Si 0.1652 0.0000 0.3321
Si2 Si 0.1650 0.0000 0.8329
Mo1 Mo 0.0000 0.5000 0.0000
W1 W 0.0000 0.5000 0.5000
```

Values from the calculation:
Its crystal system is monoclinic. As for the spin magnetization: 0.000 μB/f.u. As for the uncorrected energy: -0.294 Ha/atom. As for the uncorrected formation energy: -0.43 eV per atom.

=====

# 11
DFT (PBE-GGA) results for Si2MoW after structural relaxation.

The structure in CIF format:
```
data_Si2MoW
_chemical_formula_sum 'Si4 Mo2 W2'
_cell_length_a 8.4083
_cell_length_b 2.8670
_cell_length_c 4.9604
_cell_angle_alpha 90.00
_cell_angle_beta 101.52
_cell_angle_gamma 90.00
_space_group_name_H-M_alt 'C 1 2/m 1'
_space_group_IT_number 12
_space_group_name_Hall '-C 2y'
loop_
_atom_site_label
_atom_site_type_symbol
_atom_site_fract_x
_atom_site_fract_y
_atom_site_fract_z
Si1 Si 0.2500 0.0000 0.2474
Mo1 Mo 0.0000 0.5000 0.0000
W1 W 0.0000 0.0000 0.5000
```

Values from the calculation:
Its crystal system is monoclinic. As for the spin magnetization: 0.000 μB/f.u. As for the uncorrected energy: -0.316 Ha/atom. As for the uncorrected formation energy: 0.07 eV per atom.

=====

# 12
DFT (PBE-GGA) results for SiMoW2 after structural relaxation.

The structure in CIF format:
```
data_SiMoW2
_chemical_formula_sum 'Si1 Mo1 W2'
_cell_length_a 2.7490
_cell_length_b 4.3756
_cell_length_c 5.2645
_cell_angle_alpha 90.00
_cell_angle_beta 104.85
_cell_angle_gamma 90.00
_space_group_name_H-M_alt 'P 1 m 1'
_space_group_IT_number 6
_space_group_name_Hall 'P -2y'
loop_
_atom_site_label
_atom_site_type_symbol
_atom_site_fract_x
_atom_site_fract_y
_atom_site_fract_z
Si1 Si 0.0000 0.0000 0.0000
Mo1 Mo 0.5201 0.5000 0.7603
W1 W 0.0335 0.0000 0.5030
W2 W 0.5507 0.5000 0.2462
```

Values from the calculation:
Its crystal system is monoclinic. As for the spin magnetization: 0.000 μB/f.u. As for the uncorrected energy: -0.384 Ha/atom. As for the uncorrected formation energy: 0.08 eV per atom.

=====

# 13
DFT (PBE-GGA) results for SiMo2W after structural relaxation.

The structure in CIF format:
```
data_SiMo2W
_chemical_formula_sum 'Si2 Mo4 W2'
_cell_length_a 3.2445
_cell_length_b 4.4937
_cell_length_c 8.3617
_cell_angle_alpha 90.00
_cell_angle_beta 90.00
_cell_angle_gamma 90.00
_space_group_name_H-M_alt 'C m m 2'
_space_group_IT_number 35
_space_group_name_Hall 'C 2 -2'
loop_
_atom_site_label
_atom_site_type_symbol
_atom_site_fract_x
_atom_site_fract_y
_atom_site_fract_z
Si1 Si 0.0000 0.0000 0.0000
Mo1 Mo 0.0000 0.0000 0.5023
Mo2 Mo 0.0000 0.5000 0.7650
W1 W 0.0000 0.5000 0.2387
```

Values from the calculation:
Its crystal system is orthorhombic. As for the spin magnetization: 0.000 μB/f.u. As for the uncorrected energy: -0.368 Ha/atom. As for the uncorrected formation energy: 0.01 eV per atom.

=====

# 14
DFT (PBE-GGA) results for SiMo2W after structural relaxation.

The structure in CIF format:
```
data_SiMo2W
_chemical_formula_sum 'Si1 Mo2 W1'
_cell_length_a 3.2557
_cell_length_b 4.2720
_cell_length_c 4.3366
_cell_angle_alpha 90.00
_cell_angle_beta 90.00
_cell_angle_gamma 90.00
_space_group_name_H-M_alt 'P m m m'
_space_group_IT_number 47
_space_group_name_Hall '-P 2 2'
loop_
_atom_site_label
_atom_site_type_symbol
_atom_site_fract_x
_atom_site_fract_y
_atom_site_fract_z
Si1 Si 0.0000 0.0000 0.0000
Mo1 Mo 0.0000 0.5000 0.5000
Mo2 Mo 0.5000 0.5000 0.0000
W1 W 0.5000 0.0000 0.5000
```

Values from the calculation:
Its crystal system is orthorhombic. As for the spin magnetization: 0.002 μB/f.u. As for the uncorrected energy: -0.366 Ha/atom. As for the uncorrected formation energy: 0.06 eV per atom.

=====

# 15
DFT (PBE-GGA) results for SiMo2W after structural relaxation.

The structure in CIF format:
```
data_SiMo2W
_chemical_formula_sum 'Si2 Mo4 W2'
_cell_length_a 5.3448
_cell_length_b 8.6655
_cell_length_c 2.7834
_cell_angle_alpha 90.00
_cell_angle_beta 109.86
_cell_angle_gamma 90.00
_space_group_name_H-M_alt 'C 1 2/m 1'
_space_group_IT_number 12
_space_group_name_Hall '-C 2y'
loop_
_atom_site_label
_atom_site_type_symbol
_atom_site_fract_x
_atom_site_fract_y
_atom_site_fract_z
Si1 Si 0.0000 0.0000 0.0000
Mo1 Mo 0.2500 0.2500 0.5000
W1 W 0.0000 0.5000 0.0000
```

Values from the calculation:
Its crystal system is monoclinic. As for the spin magnetization: 0.000 μB/f.u. As for the uncorrected energy: -0.366 Ha/atom. As for the uncorrected formation energy: 0.06 eV per atom.